# 1
A relaxed structure of NpBe2I8. Source: Alexandria, functional PBE.

abc: 8.6268 8.6268 6.8619
angles: 94.59 94.59 76.70
With the nearest neighbours (Å) after each atom.
Positions (direct):
Np 0.0000 0.0000 0.0000  6 I 3.01-3.03
Be 0.1932 0.1932 0.6612  4 I 2.30-2.51
Be 0.8068 0.8068 0.3388  4 I 2.30-2.51
I 0.0843 0.7116 0.2396  1 Be 2.48
I 0.1831 0.1831 0.2946  1 Be 2.51
I 0.2884 0.9157 0.7604  1 Be 2.48
I 0.3599 0.3599 0.7670  1 Be 2.30
I 0.6401 0.6401 0.2330  1 Be 2.30
I 0.7116 0.0843 0.2396  1 Be 2.48
I 0.8169 0.8169 0.7054  1 Be 2.51
I 0.9157 0.2884 0.7604  1 Be 2.48

Output
space group	C2/m
VASP energy	-3.578	eV per atom
formation energy without anion corrections	-0.60	eV/atom
magnetic moment	2.83	Bohr magnetons per cell

***

# 2
A relaxed structure of BeMoBr2. Source: Alexandria, functional PBE.

abc: 3.2336 3.2336 8.0298
angles: 90.00 90.00 90.00
With the nearest neighbours (Å) after each atom.
Positions (direct):
Be 0.0000 0.0000 0.0000  4 Mo 2.47, 1 Br 2.68
Mo 0.5000 0.5000 0.8826  4 Be 2.47, 1 Br 2.53
Br 0.0000 0.0000 0.6667  1 Be 2.68, 4 Mo 2.87
Br 0.5000 0.5000 0.1973  1 Mo 2.53, 4 Be 2.78

Output
space group	P4mm
excess energy over the best structure of this formula in the dataset	0.1510	eV per atom
VASP energy	-4.296	eV per atom
formation energy without anion corrections	0.18	eV/atom
magnetic moment	0.00	Bohr magnetons per cell

***

# 3
A relaxed structure of BaBPRh3. Source: Alexandria, functional PBE.

abc: 6.8045 6.8045 5.8320
angles: 90.00 90.00 129.11
With the nearest neighbours (Å) after each atom.
Positions (direct):
Ba 0.2494 0.7506 0.7500  4 Rh 2.96-2.97
Ba 0.7506 0.2494 0.2500  4 Rh 2.96-2.97
B 0.4589 0.5411 0.2500  5 Rh 2.06-2.12
B 0.5411 0.4589 0.7500  5 Rh 2.06-2.12
P 0.1005 0.8995 0.2500  5 Rh 2.35-2.41
P 0.8995 0.1005 0.7500  5 Rh 2.35-2.41
Rh 0.2509 0.2509 0.0000  2 B 2.12
Rh 0.2509 0.2509 0.5000  2 B 2.12
Rh 0.2914 0.7086 0.2500  1 B 2.06
Rh 0.7086 0.2914 0.7500  1 B 2.06
Rh 0.7491 0.7491 0.0000  2 B 2.12
Rh 0.7491 0.7491 0.5000  2 B 2.12

Output
space group	Cmcm
VASP energy	-6.568	eV per atom
magnetic moment	0.00	Bohr magnetons per cell